Entry from Alexandria via LeMat-Bulk: an optimized crystal structure of NaBe2CdAs (PBEsol).

Unit cell a=4.499 b=4.499 c=5.305 alpha=90.00 beta=90.00 gamma=90.00
Atoms (fractional coordinates):
Na: 0.500 0.500 0.500
As: 0.000 0.000 0.500
Be: 0.500 0.000 0.000
Be: 0.000 0.500 0.000
Cd: 0.000 0.000 0.000

Summary:
energy of formation from the pure elements = 788 meV/atom
total magnetization = 0.00 μB/f.u.
Fermi-level density of states = 0.448 states/eV per atom
crystal system = tetragonal

Entry from Alexandria via LeMat-Bulk: an optimized crystal structure of BeAs2Cl (PBEsol).

Unit cell a=3.557 b=3.557 c=6.731 alpha=74.68 beta=74.68 gamma=60.00
Atoms (fractional coordinates):
As: 0.777 0.777 0.670
As: 0.223 0.223 0.330
Cl: 0.000 0.000 0.000
Be: 0.500 0.500 0.500

Summary:
energy above the lowest structure with this stoichiometry = 0.000 eV/atom
total magnetization = 0.00 μB/f.u.
Fermi-level density of states = 0.361 states/eV per atom
crystal system = trigonal

Entry from Alexandria via LeMat-Bulk: an optimized crystal structure of BeAs2Cl (PBEsol).

Unit cell a=3.054 b=3.054 c=7.388 alpha=90.00 beta=90.00 gamma=103.64
Atoms (fractional coordinates):
As: 0.000 0.000 0.692
As: 0.000 0.000 0.308
Cl: 0.500 0.500 0.000
Be: 0.500 0.500 0.500

Summary:
energy above the lowest structure with this stoichiometry = 0.131 eV/atom
total magnetization = 0.00 μB/f.u.
Fermi-level density of states = 0.669 states/eV per atom
crystal system = orthorhombic